Entry 1:
Computed, not measured: Tl2SeO4 after structural relaxation at the PBE level of DFT.

ΔE to the lowest computed polymorph, meV/atom: 19
E_form (uncorrected), eV per atom: -0.81
D(E_F), states/eV/atom: 0.000
E_tot, eV/f.u.: -33.75
Size of the total moment, μB per formula unit: 0.00

Lattice parameters (Å, degrees): 8.9255 9.1828 6.3838 90.00 134.02 90.00
Space group Cm (No. 8)
One atom of each set of equivalent atoms:
Tl (0.0000, 0.2505, 0.0000) (multiplicity 4)
Se (0.0001, 0.0000, 0.5003) (multiplicity 2)
O (0.0441, 0.0000, 0.8032) (multiplicity 2)
O (0.1068, 0.1514, 0.5005) (multiplicity 4)
O (0.2431, 0.5000, 0.1977) (multiplicity 2)

Entry 2:
Computed, not measured: Tl4SeO2 after structural relaxation at the PBE level of DFT.

E_form (uncorrected), eV per atom: -0.44
D(E_F), states/eV/atom: 0.107
E_tot, eV/f.u.: -25.94
Size of the total moment, μB per formula unit: 0.00

Lattice parameters (Å, degrees): 4.1218 13.3318 12.7126 90.00 90.00 90.00
Space group Cmcm (No. 63)
One atom of each set of equivalent atoms:
Tl (0.0000, 0.0000, 0.0000) (multiplicity 4)
Tl (0.0000, 0.2767, 0.1083) (multiplicity 8)
Tl (0.0000, 0.4202, 0.7500) (multiplicity 4)
Se (0.0000, 0.0551, 0.7500) (multiplicity 4)
O (0.0000, 0.3445, 0.5956) (multiplicity 8)

Entry 3:
Computed, not measured: TlSe2O2 after structural relaxation at the PBE level of DFT.

ΔE to the lowest computed polymorph, meV/atom: 0
E_form (uncorrected), eV per atom: -0.18
D(E_F), states/eV/atom: 0.193
E_tot, eV/f.u.: -20.15
Size of the total moment, μB per formula unit: 0.00

Lattice parameters (Å, degrees): 7.8795 7.8795 3.8648 90.00 90.00 90.00
Space group P4/mbm (No. 127)
One atom of each set of equivalent atoms:
Tl (0.0000, 0.0000, 0.0000) (multiplicity 2)
Se (0.1100, 0.3900, 0.0000) (multiplicity 4)
O (0.1422, 0.3578, 0.5000) (multiplicity 4)

Entry 4:
Computed, not measured: Tl5Se2O after structural relaxation at the PBE level of DFT.

E_form (uncorrected), eV per atom: -0.31
D(E_F), states/eV/atom: 0.237
E_tot, eV/f.u.: -26.21
Size of the total moment, μB per formula unit: 0.00

Lattice parameters (Å, degrees): 5.9903 15.4076 12.4974 90.00 90.00 90.00
Space group Cmcm (No. 63)
One atom of each set of equivalent atoms:
Tl (0.0000, 0.0704, 0.1190) (multiplicity 8)
Tl (0.0000, 0.3035, 0.1025) (multiplicity 8)
Tl (0.0000, 0.3133, 0.7500) (multiplicity 4)
Se (0.0000, 0.1698, 0.5885) (multiplicity 8)
O (0.0000, 0.1951, 0.2500) (multiplicity 4)

Entry 5:
Computed, not measured: Tl6Se2O after structural relaxation at the PBE level of DFT.

E_form (uncorrected), eV per atom: -0.41
E_tot, eV/f.u.: -29.83
Size of the total moment, μB per formula unit: 0.00

Lattice parameters (Å, degrees): 13.9745 4.2046 9.8880 90.00 103.80 90.00
Space group C2/m (No. 12)
One atom of each set of equivalent atoms:
Tl (0.0342, 0.0000, 0.2597) (multiplicity 4)
Tl (0.1244, 0.5000, 0.9863) (multiplicity 4)
Tl (0.1477, 0.5000, 0.5926) (multiplicity 4)
Se (0.1988, 0.5000, 0.2949) (multiplicity 4)
O (0.0000, 0.0000, 0.0000) (multiplicity 2)

Entry 6:
Computed, not measured: Tl6SeO3 after structural relaxation at the PBE level of DFT.

E_form (uncorrected), eV per atom: -0.49
D(E_F), states/eV/atom: 0.058
E_tot, eV/f.u.: -37.41
Size of the total moment, μB per formula unit: 0.00

Lattice parameters (Å, degrees): 12.1354 3.6835 13.3072 90.00 115.85 90.00
Space group P2_1/m (No. 11)
One atom of each set of equivalent atoms:
Tl (0.0217, 0.2500, 0.3131) (multiplicity 2)
Tl (0.0998, 0.2500, 0.9488) (multiplicity 2)
Tl (0.2309, 0.7500, 0.2310) (multiplicity 2)
Tl (0.3343, 0.7500, 0.7504) (multiplicity 2)
Tl (0.3377, 0.2500, 0.5026) (multiplicity 2)
Tl (0.3810, 0.7500, 0.0234) (multiplicity 2)
Se (0.4166, 0.2500, 0.3005) (multiplicity 2)
O (0.0996, 0.2500, 0.1344) (multiplicity 2)
O (0.1744, 0.7500, 0.3710) (multiplicity 2)
O (0.4048, 0.2500, 0.8909) (multiplicity 2)

Entry 7:
Computed, not measured: Tl2Se2O5 after structural relaxation at the PBE level of DFT.

ΔE to the lowest computed polymorph, meV/atom: 204
E_form (uncorrected), eV per atom: -0.62
D(E_F), states/eV/atom: 0.000
E_tot, eV/f.u.: -42.04
Size of the total moment, μB per formula unit: 0.00

Lattice parameters (Å, degrees): 12.7485 4.1496 6.9539 90.00 110.63 90.00
Space group C2/m (No. 12)
One atom of each set of equivalent atoms:
Tl (0.0725, 0.0000, 0.3249) (multiplicity 4)
Se (0.1496, 0.5000, 0.9640) (multiplicity 4)
O (0.0000, 0.5000, 0.0000) (multiplicity 2)
O (0.0960, 0.5000, 0.7070) (multiplicity 4)
O (0.1721, 0.0000, 0.0126) (multiplicity 4)

Entry 8:
Computed, not measured: Tl2Se3O9 after structural relaxation at the PBE level of DFT.

E_form (uncorrected), eV per atom: -0.76
D(E_F), states/eV/atom: 0.000
E_tot, eV/f.u.: -70.39
Size of the total moment, μB per formula unit: 0.00

Lattice parameters (Å, degrees): 4.8511 11.4741 18.2049 90.00 99.46 90.00
Space group P2_1/c (No. 14)
One atom of each set of equivalent atoms:
Tl (0.1050, 0.1444, 0.3730) (multiplicity 4)
Tl (0.3746, 0.5619, 0.7054) (multiplicity 4)
Se (0.1301, 0.6786, 0.3020) (multiplicity 4)
Se (0.2215, 0.1030, 0.9404) (multiplicity 4)
Se (0.3336, 0.0586, 0.5943) (multiplicity 4)
O (0.0225, 0.5357, 0.9103) (multiplicity 4)
O (0.0747, 0.5278, 0.5978) (multiplicity 4)
O (0.0861, 0.0744, 0.2519) (multiplicity 4)
O (0.1014, 0.2350, 0.9689) (multiplicity 4)
O (0.1839, 0.7497, 0.2193) (multiplicity 4)
O (0.3473, 0.1633, 0.8638) (multiplicity 4)
O (0.4250, 0.6028, 0.3344) (multiplicity 4)
O (0.4316, 0.5865, 0.1056) (multiplicity 4)
O (0.4384, 0.1223, 0.6810) (multiplicity 4)